Computed, not measured: crystalline Sc2OsPbSe at its relaxed geometry at the PBE-GGA level of DFT.

Computed properties:
Space group   P4/mmm (123)
E   -4.7262 eV per atom
E above lowest polymorph   7.43 eV/f.u.
Formation energy from raw total energies   1490.9 meV/atom

Lattice parameters (Å, degrees): 5.419 5.419 5.220 90.00 90.00 90.00
Fractional coordinates of all 5 atoms:
Sc (0.000, 0.500, 0.000)
Sc (0.500, 0.000, 0.000)
Os (0.000, 0.000, 0.500)
Pb (0.500, 0.500, 0.000)
Se (0.500, 0.500, 0.500)